[1]
Computed, not measured: a PBEsol-optimized structure of Zr2AgTe at the meta-GGA SCAN level of DFT.

a b c (Å): 3.369 3.369 27.800
angles (deg): 90.00 90.00 120.00
Positions (direct):
Zr: 0.000 0.000 0.000
Zr: 0.000 0.000 0.247
Zr: 0.333 0.667 0.667
Zr: 0.333 0.667 0.914
Zr: 0.667 0.333 0.333
Zr: 0.667 0.333 0.581
Ag: 0.000 0.000 0.746
Ag: 0.333 0.667 0.413
Ag: 0.667 0.333 0.079
Te: 0.000 0.000 0.502
Te: 0.333 0.667 0.169
Te: 0.667 0.333 0.836

## Properties
**Electronic total energy**: -32.645 eV/atom
**ρ**: 7.62 g cm⁻³
**M_tot**: 0.00 μB per cell

=====

[2]
Computed, not measured: a PBEsol-optimized structure of Ti2Ag at the meta-GGA SCAN level of DFT.

a b c (Å): 2.897 2.897 11.805
angles (deg): 90.00 90.00 90.00
Positions (direct):
Ti: 0.000 0.000 0.171
Ti: 0.000 0.000 0.829
Ti: 0.500 0.500 0.329
Ti: 0.500 0.500 0.671
Ag: 0.000 0.000 0.500
Ag: 0.500 0.500 0.000

## Properties
**Electronic total energy**: -21.217 eV/atom
**E_form**: -75 meV/atom
**ρ**: 6.83 g cm⁻³
**M_tot**: 0.00 μB per cell

=====

[3]
Computed, not measured: a PBEsol-optimized structure of TiAg at the meta-GGA SCAN level of DFT.

a b c (Å): 2.873 2.873 8.017
angles (deg): 90.00 90.00 90.00
Positions (direct):
Ti: 0.250 0.250 0.117
Ti: 0.750 0.750 0.883
Ag: 0.250 0.250 0.627
Ag: 0.750 0.750 0.373

## Properties
**Electronic total energy**: -23.780 eV/atom
**E_form**: -81 meV/atom
**ρ**: 7.82 g cm⁻³
**M_tot**: 0.00 μB per cell

=====

[4]
Computed, not measured: a PBEsol-optimized structure of TiTl2Ag at the meta-GGA SCAN level of DFT.

a b c (Å): 6.861 6.861 6.861
angles (deg): 90.00 90.00 90.00
Positions (direct):
Ti: 0.000 0.000 0.000
Ti: 0.000 0.500 0.500
Ti: 0.500 0.000 0.500
Ti: 0.500 0.500 0.000
Tl: 0.250 0.250 0.250
Tl: 0.250 0.250 0.750
Tl: 0.250 0.750 0.250
Tl: 0.250 0.750 0.750
Tl: 0.750 0.250 0.250
Tl: 0.750 0.250 0.750
Tl: 0.750 0.750 0.250
Tl: 0.750 0.750 0.750
Ag: 0.000 0.000 0.500
Ag: 0.000 0.500 0.000
Ag: 0.500 0.000 0.000
Ag: 0.500 0.500 0.500

## Properties
**Electronic total energy**: -47.809 eV/atom
**E_form**: 219 meV/atom
**ρ**: 11.61 g cm⁻³
**M_tot**: 5.94 μB per cell

=====

[5]
Computed, not measured: a PBEsol-optimized structure of TiAgW3 at the meta-GGA SCAN level of DFT.

a b c (Å): 4.699 4.699 4.699
angles (deg): 90.00 90.00 90.00
Positions (direct):
Ti: 0.000 0.000 0.000
Ag: 0.500 0.500 0.500
W: 0.000 0.500 0.500
W: 0.500 0.000 0.500
W: 0.500 0.500 0.000

## Properties
**Electronic total energy**: -48.443 eV/atom
**E_form**: 2849 meV/atom
**ρ**: 11.32 g cm⁻³
**M_tot**: 0.01 μB per cell

=====

[6]
Computed, not measured: a PBEsol-optimized structure of TiAg2W at the meta-GGA SCAN level of DFT.

a b c (Å): 6.384 6.384 6.384
angles (deg): 90.00 90.00 90.00
Positions (direct):
Ti: 0.000 0.000 0.000
Ti: 0.000 0.500 0.500
Ti: 0.500 0.000 0.500
Ti: 0.500 0.500 0.000
Ag: 0.250 0.250 0.250
Ag: 0.250 0.250 0.750
Ag: 0.250 0.750 0.250
Ag: 0.250 0.750 0.750
Ag: 0.750 0.250 0.250
Ag: 0.750 0.250 0.750
Ag: 0.750 0.750 0.250
Ag: 0.750 0.750 0.750
W: 0.000 0.000 0.500
W: 0.000 0.500 0.000
W: 0.500 0.000 0.000
W: 0.500 0.500 0.500

## Properties
**Electronic total energy**: -36.378 eV/atom
**E_form**: 735 meV/atom
**ρ**: 11.42 g cm⁻³
**M_tot**: 0.00 μB per cell

=====

[7]
Computed, not measured: a PBEsol-optimized structure of YTi2Ag at the meta-GGA SCAN level of DFT.

a b c (Å): 6.676 6.676 6.676
angles (deg): 90.00 90.00 90.00
Positions (direct):
Y: 0.000 0.000 0.000
Y: 0.000 0.500 0.500
Y: 0.500 0.000 0.500
Y: 0.500 0.500 0.000
Ti: 0.250 0.250 0.250
Ti: 0.250 0.250 0.750
Ti: 0.250 0.750 0.250
Ti: 0.250 0.750 0.750
Ti: 0.750 0.250 0.250
Ti: 0.750 0.250 0.750
Ti: 0.750 0.750 0.250
Ti: 0.750 0.750 0.750
Ag: 0.000 0.000 0.500
Ag: 0.000 0.500 0.000
Ag: 0.500 0.000 0.000
Ag: 0.500 0.500 0.500

## Properties
**Electronic total energy**: -22.463 eV/atom
**E_form**: 354 meV/atom
**ρ**: 6.53 g cm⁻³
**M_tot**: 0.01 μB per cell

=====

[8]
Computed, not measured: a PBEsol-optimized structure of YTi3Ag at the meta-GGA SCAN level of DFT.

a b c (Å): 4.693 4.693 4.693
angles (deg): 90.00 90.00 90.00
Positions (direct):
Y: 0.000 0.000 0.000
Ti: 0.000 0.000 0.500
Ti: 0.000 0.500 0.000
Ti: 0.500 0.000 0.000
Ag: 0.500 0.500 0.500

## Properties
**Electronic total energy**: -19.870 eV/atom
**E_form**: 1590 meV/atom
**ρ**: 5.47 g cm⁻³
**M_tot**: 2.92 μB per cell

=====

[9]
Computed, not measured: a PBEsol-optimized structure of YTiAg3 at the meta-GGA SCAN level of DFT.

a b c (Å): 4.867 4.867 4.867
angles (deg): 90.00 90.00 90.00
Positions (direct):
Y: 0.000 0.000 0.000
Ti: 0.500 0.500 0.500
Ag: 0.000 0.500 0.500
Ag: 0.500 0.000 0.500
Ag: 0.500 0.500 0.000

## Properties
**Electronic total energy**: -27.078 eV/atom
**E_form**: 517 meV/atom
**ρ**: 6.63 g cm⁻³
**M_tot**: 1.27 μB per cell

=====

[10]
Computed, not measured: a PBEsol-optimized structure of ZrTiAg2 at the meta-GGA SCAN level of DFT.

a b c (Å): 6.634 6.634 6.634
angles (deg): 90.00 90.00 90.00
Positions (direct):
Zr: 0.000 0.000 0.000
Zr: 0.000 0.500 0.500
Zr: 0.500 0.000 0.500
Zr: 0.500 0.500 0.000
Ti: 0.000 0.000 0.500
Ti: 0.000 0.500 0.000
Ti: 0.500 0.000 0.000
Ti: 0.500 0.500 0.500
Ag: 0.250 0.250 0.250
Ag: 0.250 0.250 0.750
Ag: 0.250 0.750 0.250
Ag: 0.250 0.750 0.750
Ag: 0.750 0.250 0.250
Ag: 0.750 0.250 0.750
Ag: 0.750 0.750 0.250
Ag: 0.750 0.750 0.750

## Properties
**Electronic total energy**: -27.373 eV/atom
**E_form**: -7 meV/atom
**ρ**: 8.07 g cm⁻³
**M_tot**: 8.16 μB per cell

=====

[11]
Computed, not measured: a PBEsol-optimized structure of Tl2Ag at the meta-GGA SCAN level of DFT.

a b c (Å): 10.911 3.244 8.279
angles (deg): 90.00 100.38 90.00
Positions (direct):
Tl: 0.000 0.000 0.000
Tl: 0.039 0.000 0.420
Tl: 0.254 0.500 0.257
Tl: 0.335 0.000 0.633
Tl: 0.500 0.500 0.000
Tl: 0.539 0.500 0.420
Tl: 0.754 0.000 0.257
Tl: 0.835 0.500 0.633
Ag: 0.112 0.500 0.731
Ag: 0.265 0.000 0.960
Ag: 0.612 0.000 0.731
Ag: 0.765 0.500 0.960

## Properties
**Electronic total energy**: -58.592 eV/atom
**E_form**: 102 meV/atom
**ρ**: 11.91 g cm⁻³
**M_tot**: 0.00 μB per cell

=====

[12]
Computed, not measured: a PBEsol-optimized structure of Tl5Ag at the meta-GGA SCAN level of DFT.

a b c (Å): 5.984 5.984 5.045
angles (deg): 90.00 90.00 120.00
Positions (direct):
Tl: 0.000 0.688 0.000
Tl: 0.312 0.312 0.000
Tl: 0.333 0.667 0.500
Tl: 0.667 0.333 0.500
Tl: 0.688 0.000 0.000
Ag: 0.000 0.000 0.500

## Properties
**Electronic total energy**: -65.426 eV/atom
**E_form**: 101 meV/atom
**Energy above the most stable polymorph in this dataset**: 0.024 eV per atom
**ρ**: 11.99 g cm⁻³
**M_tot**: 0.00 μB per cell

=====

[13]
Computed, not measured: a PBEsol-optimized structure of TlAg5 at the meta-GGA SCAN level of DFT.

a b c (Å): 10.759 2.954 6.981
angles (deg): 90.00 105.67 90.00
Positions (direct):
Tl: 0.000 0.000 0.000
Tl: 0.500 0.500 0.000
Ag: 0.120 0.500 0.719
Ag: 0.174 0.500 0.344
Ag: 0.278 0.000 0.067
Ag: 0.334 0.000 0.658
Ag: 0.450 0.500 0.399
Ag: 0.620 0.000 0.719
Ag: 0.674 0.000 0.344
Ag: 0.778 0.500 0.067
Ag: 0.834 0.500 0.658
Ag: 0.950 0.000 0.399

## Properties
**Electronic total energy**: -38.115 eV/atom
**E_form**: 84 meV/atom
**Energy above the most stable polymorph in this dataset**: 0.017 eV per atom
**ρ**: 11.56 g cm⁻³
**M_tot**: 0.00 μB per cell

=====

[14]
Computed, not measured: a PBEsol-optimized structure of TlAg8 at the meta-GGA SCAN level of DFT.

a b c (Å): 6.501 6.501 6.501
angles (deg): 95.71 95.71 143.23
Positions (direct):
Tl: 0.000 0.000 0.000
Ag: 0.000 0.337 0.337
Ag: 0.000 0.663 0.663
Ag: 0.329 0.329 0.658
Ag: 0.329 0.671 0.000
Ag: 0.337 0.000 0.337
Ag: 0.663 0.000 0.663
Ag: 0.671 0.329 0.000
Ag: 0.671 0.671 0.342

## Properties
**Electronic total energy**: -35.874 eV/atom
**E_form**: 47 meV/atom
**ρ**: 11.36 g cm⁻³
**M_tot**: 0.00 μB per cell

=====

[15]
Computed, not measured: a PBEsol-optimized structure of Tl2Ag at the meta-GGA SCAN level of DFT.

a b c (Å): 3.277 3.404 12.833
angles (deg): 90.00 90.00 90.00
Positions (direct):
Tl: 0.000 0.000 0.150
Tl: 0.000 0.000 0.850
Tl: 0.500 0.500 0.350
Tl: 0.500 0.500 0.650
Ag: 0.000 0.000 0.500
Ag: 0.500 0.500 0.000

## Properties
**Electronic total energy**: -58.583 eV/atom
**E_form**: 112 meV/atom
**ρ**: 11.99 g cm⁻³
**M_tot**: 0.00 μB per cell

=====

[16]
Computed, not measured: a PBEsol-optimized structure of Tl5Ag24 at the meta-GGA SCAN level of DFT.

a b c (Å): 8.818 8.818 8.818
angles (deg): 109.47 109.47 109.47
Positions (direct):
Tl: 0.000 0.000 0.000
Tl: 0.000 0.000 0.640
Tl: 0.000 0.640 0.000
Tl: 0.360 0.360 0.360
Tl: 0.640 0.000 0.000
Ag: 0.000 0.193 0.384
Ag: 0.000 0.384 0.193
Ag: 0.000 0.414 0.683
Ag: 0.000 0.683 0.414
Ag: 0.191 0.807 0.807
Ag: 0.193 0.000 0.384
Ag: 0.193 0.384 0.000
Ag: 0.269 0.586 0.586
Ag: 0.317 0.317 0.731
Ag: 0.317 0.731 0.317
Ag: 0.384 0.000 0.193
Ag: 0.384 0.193 0.000
Ag: 0.414 0.000 0.683
Ag: 0.414 0.683 0.000
Ag: 0.586 0.269 0.586
Ag: 0.586 0.586 0.269
Ag: 0.616 0.616 0.809
Ag: 0.616 0.809 0.616
Ag: 0.683 0.000 0.414
Ag: 0.683 0.414 0.000
Ag: 0.731 0.317 0.317
Ag: 0.807 0.191 0.807
Ag: 0.807 0.807 0.191
Ag: 0.809 0.616 0.616

## Properties
**Electronic total energy**: -38.322 eV/atom
**E_form**: 113 meV/atom
**ρ**: 11.36 g cm⁻³
**M_tot**: 0.00 μB per cell

=====

[17]
Computed, not measured: a PBEsol-optimized structure of Tl5Ag at the meta-GGA SCAN level of DFT.

a b c (Å): 12.048 3.445 7.944
angles (deg): 90.00 108.81 90.00
Positions (direct):
Tl: 0.000 0.000 0.000
Tl: 0.006 0.000 0.426
Tl: 0.154 0.500 0.778
Tl: 0.300 0.000 0.133
Tl: 0.340 0.000 0.623
Tl: 0.500 0.500 0.000
Tl: 0.506 0.500 0.426
Tl: 0.654 0.000 0.778
Tl: 0.800 0.500 0.133
Tl: 0.840 0.500 0.623
Ag: 0.177 0.500 0.325
Ag: 0.677 0.000 0.325

## Properties
**Electronic total energy**: -65.449 eV/atom
**E_form**: 77 meV/atom
**Energy above the most stable polymorph in this dataset**: 0.000 eV per atom
**ρ**: 12.02 g cm⁻³
**M_tot**: 0.00 μB per cell

=====

[18]
Computed, not measured: a PBEsol-optimized structure of Tl8Ag at the meta-GGA SCAN level of DFT.

a b c (Å): 7.732 7.732 7.732
angles (deg): 94.51 94.51 147.44
Positions (direct):
Tl: 0.000 0.330 0.330
Tl: 0.000 0.670 0.670
Tl: 0.330 0.000 0.330
Tl: 0.342 0.342 0.684
Tl: 0.342 0.658 0.000
Tl: 0.658 0.342 0.000
Tl: 0.658 0.658 0.316
Tl: 0.670 0.000 0.670
Ag: 0.000 0.000 0.000

## Properties
**Electronic total energy**: -67.722 eV/atom
**E_form**: 82 meV/atom
**ρ**: 12.12 g cm⁻³
**M_tot**: 0.00 μB per cell

=====

[19]
Computed, not measured: a PBEsol-optimized structure of TlAg5 at the meta-GGA SCAN level of DFT.

a b c (Å): 5.071 5.071 4.770
angles (deg): 90.00 90.00 120.00
Positions (direct):
Tl: 0.000 0.000 0.000
Ag: 0.000 0.345 0.500
Ag: 0.333 0.667 0.000
Ag: 0.345 0.000 0.500
Ag: 0.655 0.655 0.500
Ag: 0.667 0.333 0.000

## Properties
**Electronic total energy**: -38.133 eV/atom
**E_form**: 66 meV/atom
**Energy above the most stable polymorph in this dataset**: 0.000 eV per atom
**ρ**: 11.63 g cm⁻³
**M_tot**: 0.00 μB per cell

=====

[20]
Computed, not measured: a PBEsol-optimized structure of Tl7Ag at the meta-GGA SCAN level of DFT.

a b c (Å): 6.677 6.677 6.677
angles (deg): 60.00 60.00 60.00
Positions (direct):
Tl: 0.000 0.000 0.000
Tl: 0.000 0.000 0.500
Tl: 0.000 0.500 0.000
Tl: 0.000 0.500 0.500
Tl: 0.500 0.000 0.000
Tl: 0.500 0.000 0.500
Tl: 0.500 0.500 0.000
Ag: 0.500 0.500 0.500

## Properties
**Electronic total energy**: -67.137 eV/atom
**E_form**: 97 meV/atom
**ρ**: 12.14 g cm⁻³
**M_tot**: 0.00 μB per cell